# 1
Computed, not measured: a relaxed structure of Tb2PuO at the PBE-GGA level of DFT.

a = 3.4450 Å, b = 3.4450 Å, c = 9.5136 Å
α = 79.57°, β = 79.57°, γ = 60.00°
Last column: nearest neighbours and their distance in Å.
Atoms (fractional coordinates):
1 Tb 0.1181 0.1181 0.6456  3 O 2.41
2 Tb 0.8819 0.8819 0.3544  3 O 2.41
3 O 0.5000 0.5000 0.5000  6 Tb 2.41
4 Pu 0.0000 0.0000 0.0000  2 Tb 3.30, 6 Pu 3.45

Calculated values
ΔE to the lowest computed polymorph in eV per atom: 0.000
Electronic total energy in eV per atom: -8.2413
Magnetization in μB per formula unit: 6.28

---

# 2
Computed, not measured: a relaxed structure of Ba2GaPb at the PBE-GGA level of DFT.

a = 5.9885 Å, b = 5.9885 Å, c = 5.9885 Å
α = 60.00°, β = 60.00°, γ = 60.00°
Last column: nearest neighbours and their distance in Å.
Atoms (fractional coordinates):
1 Pb 0.5000 0.5000 0.5000  8 Ba 3.67
2 Ba 0.2500 0.2500 0.2500  4 Pb 3.67, 4 Ga 3.67
3 Ba 0.7500 0.7500 0.7500  4 Pb 3.67, 4 Ga 3.67
4 Ga 0.0000 0.0000 0.0000  8 Ba 3.67

Calculated values
ΔE to the lowest computed polymorph in eV per atom: 0.083
Energy of formation in eV/atom: -0.39
Electronic total energy in eV per atom: -3.0357
Magnetization in μB per formula unit: 0.00

---

Question: Which of these has the highest ΔE to the lowest computed polymorph?
Answer: Ba2GaPb

---

Question: What is the magnetization in the first record?
Answer: 6.28 μB per formula unit

---

Copy entry 1 word for word.
Computed, not measured: a relaxed structure of Tb2PuO at the PBE-GGA level of DFT.

a = 3.4450 Å, b = 3.4450 Å, c = 9.5136 Å
α = 79.57°, β = 79.57°, γ = 60.00°
Last column: nearest neighbours and their distance in Å.
Atoms (fractional coordinates):
1 Tb 0.1181 0.1181 0.6456  3 O 2.41
2 Tb 0.8819 0.8819 0.3544  3 O 2.41
3 O 0.5000 0.5000 0.5000  6 Tb 2.41
4 Pu 0.0000 0.0000 0.0000  2 Tb 3.30, 6 Pu 3.45

Calculated values
ΔE to the lowest computed polymorph in eV per atom: 0.000
Electronic total energy in eV per atom: -8.2413
Magnetization in μB per formula unit: 6.28

---

Question: Among the records above, which one has the highest magnetization?
Answer: Tb2PuO